# PBE-GGA LaSi2Ru, relaxed
data_LaSi2Ru
_cell_length_a 7.4476
_cell_length_b 4.0458
_cell_length_c 5.9667
_cell_angle_alpha 90.00
_cell_angle_beta 115.88
_cell_angle_gamma 90.00
_symmetry_space_group_name_H-M 'P 1'
_symmetry_Int_Tables_number 1
loop_
_symmetry_equiv_pos_as_xyz
'x,y,z'
loop_
_atom_site_label
_atom_site_fract_x
_atom_site_fract_y
_atom_site_fract_z
_atom_site_occupancy
La1 0.0000 0.0000 0.0000 1
La2 0.5000 0.5000 0.0000 1
Si1 0.1814 0.0000 0.5913 1
Si2 0.4549 0.0000 0.3669 1
Si3 0.6814 0.5000 0.5913 1
Si4 0.9549 0.5000 0.3669 1
Ru1 0.3089 0.5000 0.4508 1
Ru2 0.8089 0.0000 0.4508 1
# Density of states at the Fermi level   5.2 states/eV per cell
# V   20.219 A^3/atom
# Energy relative to the elements, uncorrected   -615 meV per atom
# Crystal system   monoclinic